DFT (GGA+U) results for a relaxed structure of NpTlNi2O5.

As for the theoretical density: 8.06 g cm⁻³. The crystal system is orthorhombic. As for the uncorrected energy: -0.4758 Ry/atom. The density of states at the Fermi level comes out at 6.8 states/eV per cell.

The structure belongs to space group Immm (No. 71); the cell edges are 4.790, 5.899 and 9.320 Å and the angles 90.00°, 90.00° and 90.00°. The distinct sites, in fractional coordinates, are Np at (0.000, 0.000, 0.000), Tl at (0.000, 0.000, 0.500), Ni at (0.000, 0.500, 0.282), O at (0.000, 0.239, 0.155) and O at (0.000, 0.500, 0.500).